[1]
Here is a relaxed Ac4Te3 crystal from Alexandria via LeMat-Bulk. Energies are from GGA-PBE.

a b c (Å): 16.0251 16.0251 16.0251
angles (deg): 16.28 16.28 16.28
Fractional positions:
1 Ac 0.1220 0.1220 0.1220
2 Ac 0.3684 0.3684 0.3684
3 Ac 0.6316 0.6316 0.6316
4 Ac 0.8780 0.8780 0.8780
5 Te 0.2539 0.2539 0.2539
6 Te 0.5000 0.5000 0.5000
7 Te 0.7461 0.7461 0.7461

## Properties
Energy above the lowest structure with this stoichiometry, eV/atom: 0.000
Fermi-level density of states, states/eV per cell: 5.41
Space-group type: R-3m (166)
Total magnetic moment, Bohr magnetons per cell: 0.0

[2]
Here is a relaxed Y2ZnGe crystal from Alexandria via LeMat-Bulk. Energies are from GGA-PBE.

a b c (Å): 5.8254 4.1027 8.3463
angles (deg): 90.00 109.04 90.00
Fractional positions:
1 Y 0.2098 0.2500 0.4284
2 Y 0.2868 0.7500 0.0688
3 Y 0.7132 0.2500 0.9312
4 Y 0.7902 0.7500 0.5716
5 Zn 0.3637 0.7500 0.7119
6 Zn 0.6363 0.2500 0.2881
7 Ge 0.1354 0.2500 0.7888
8 Ge 0.8646 0.7500 0.2112

## Properties
DFT formation energy, meV per atom: -641.2
Fermi-level density of states, states/eV per cell: 8.99
Space-group type: P2_1/m (11)
Total magnetic moment, Bohr magnetons per cell: 0.0

[3]
Here is a relaxed Pm2CdGa4Cu3 crystal from Alexandria via LeMat-Bulk. Energies are from GGA-PBE.

a b c (Å): 4.2438 4.2438 10.4833
angles (deg): 90.00 90.00 90.00
Fractional positions:
1 Pm 0.0000 0.5000 0.2397
2 Pm 0.5000 0.0000 0.7603
3 Cd 0.0000 0.0000 0.5000
4 Ga 0.0000 0.0000 0.0000
5 Ga 0.0000 0.5000 0.6507
6 Ga 0.5000 0.0000 0.3493
7 Ga 0.5000 0.5000 0.0000
8 Cu 0.0000 0.5000 0.8777
9 Cu 0.5000 0.0000 0.1223
10 Cu 0.5000 0.5000 0.5000

## Properties
DFT formation energy, meV per atom: -420.0
Fermi-level density of states, states/eV per cell: 5.14
Space-group type: P-4m2 (115)
Total magnetic moment, Bohr magnetons per cell: 0.0

[4]
Here is a relaxed TbSc3Pd12 crystal from Alexandria via LeMat-Bulk. Energies are from GGA-PBE.

a b c (Å): 4.0430 4.0430 16.1413
angles (deg): 90.00 90.00 90.00
Fractional positions:
1 Tb 0.0000 0.0000 0.0000
2 Sc 0.0000 0.0000 0.2541
3 Sc 0.0000 0.0000 0.5000
4 Sc 0.0000 0.0000 0.7459
5 Pd 0.0000 0.5000 0.1318
6 Pd 0.0000 0.5000 0.3772
7 Pd 0.0000 0.5000 0.6228
8 Pd 0.0000 0.5000 0.8682
9 Pd 0.5000 0.0000 0.1318
10 Pd 0.5000 0.0000 0.3772
11 Pd 0.5000 0.0000 0.6228
12 Pd 0.5000 0.0000 0.8682
13 Pd 0.5000 0.5000 0.0000
14 Pd 0.5000 0.5000 0.2543
15 Pd 0.5000 0.5000 0.5000
16 Pd 0.5000 0.5000 0.7457

## Properties
DFT formation energy, meV per atom: -843.8
Fermi-level density of states, states/eV per cell: 13.66
Space-group type: P4/mmm (123)
Total magnetic moment, Bohr magnetons per cell: 0.0

[5]
Here is a relaxed Tm4CoTe2Se crystal from Alexandria via LeMat-Bulk. Energies are from GGA-PBE.

a b c (Å): 7.2786 4.0140 7.3644
angles (deg): 90.00 108.01 90.00
Fractional positions:
1 Tm 0.2115 0.0000 0.2004
2 Tm 0.2379 0.5000 0.7878
3 Tm 0.7621 0.5000 0.2122
4 Tm 0.7885 0.0000 0.7996
5 Co 0.0000 0.5000 0.0000
6 Te 0.0000 0.0000 0.5000
7 Te 0.5000 0.5000 0.5000
8 Se 0.5000 0.0000 0.0000

## Properties
Fermi-level density of states, states/eV per cell: 5.70
Space-group type: P2/m (10)
Electronic total energy, eV per formula unit: -43.44
Total magnetic moment, Bohr magnetons per cell: 0.0

[6]
Here is a relaxed KAlHg2Sb crystal from Alexandria via LeMat-Bulk. Energies are from GGA-PBE.

a b c (Å): 5.4061 5.4061 5.4576
angles (deg): 90.00 90.00 90.00
Fractional positions:
1 K 0.0000 0.0000 0.0000
2 Al 0.5000 0.5000 0.5000
3 Hg 0.0000 0.5000 0.5000
4 Hg 0.5000 0.0000 0.5000
5 Sb 0.5000 0.5000 0.0000

## Properties
Fermi-level density of states, states/eV per cell: 2.32
Space-group type: P4/mmm (123)
Electronic total energy, eV per formula unit: -9.90
Total magnetic moment, Bohr magnetons per cell: 0.0

[7]
Here is a relaxed HfTiS2 crystal from Alexandria via LeMat-Bulk. Energies are from GGA-PBE.

a b c (Å): 4.4240 4.4240 4.4240
angles (deg): 60.00 60.00 60.00
Fractional positions:
1 Hf 0.0000 0.0000 0.0000
2 Ti 0.5000 0.5000 0.5000
3 S 0.2500 0.2500 0.2500
4 S 0.7500 0.7500 0.7500

## Properties
Energy above the lowest structure with this stoichiometry, eV/atom: 0.197
Fermi-level density of states, states/eV per cell: 0.17
Space-group type: Fm-3m (225)
Total magnetic moment, Bohr magnetons per cell: 0.0

[8]
Here is a relaxed YMn10Co2 crystal from Alexandria via LeMat-Bulk. Energies are from GGA-PBE.

a b c (Å): 6.3576 6.3576 8.2775
angles (deg): 90.00 90.00 97.57
Fractional positions:
1 Y 0.1153 0.8847 0.7500
2 Y 0.8847 0.1153 0.2500
3 Mn 0.1265 0.3823 0.7500
4 Mn 0.1686 0.8314 0.0993
5 Mn 0.1686 0.8314 0.4007
6 Mn 0.2377 0.2377 0.0000
7 Mn 0.2377 0.2377 0.5000
8 Mn 0.2508 0.4833 0.2500
9 Mn 0.3823 0.1265 0.2500
10 Mn 0.3883 0.6117 0.5808
11 Mn 0.3883 0.6117 0.9192
12 Mn 0.4833 0.2508 0.7500
13 Mn 0.5167 0.7492 0.2500
14 Mn 0.6117 0.3883 0.0808
15 Mn 0.6117 0.3883 0.4192
16 Mn 0.6177 0.8735 0.7500
17 Mn 0.7492 0.5167 0.7500
18 Mn 0.7623 0.7623 0.0000
19 Mn 0.7623 0.7623 0.5000
20 Mn 0.8314 0.1686 0.5993
21 Mn 0.8314 0.1686 0.9007
22 Mn 0.8735 0.6177 0.2500
23 Co 0.0000 0.5000 0.0000
24 Co 0.0000 0.5000 0.5000
25 Co 0.5000 0.0000 0.0000
26 Co 0.5000 0.0000 0.5000

## Properties
DFT formation energy, meV per atom: 22.7
Fermi-level density of states, states/eV per cell: 29.16
Space-group type: Cmcm (63)
Total magnetic moment, Bohr magnetons per cell: 7.9

[9]
Here is a relaxed UGePt4 crystal from Alexandria via LeMat-Bulk. Energies are from GGA-PBE.

a b c (Å): 4.6408 5.4794 8.9055
angles (deg): 107.88 103.42 90.05
Fractional positions:
1 U 0.2495 0.1710 0.0001
2 U 0.7505 0.8290 0.9999
3 Ge 0.0000 0.5000 0.5000
4 Ge 0.5000 0.0000 0.5000
5 Pt 0.0997 0.9812 0.6594
6 Pt 0.1703 0.5588 0.8197
7 Pt 0.3302 0.7390 0.1804
8 Pt 0.4001 0.3219 0.3408
9 Pt 0.5999 0.6781 0.6592
10 Pt 0.6698 0.2610 0.8196
11 Pt 0.8297 0.4412 0.1803
12 Pt 0.9003 0.0188 0.3406

## Properties
DFT formation energy, meV per atom: -475.9
Energy above the lowest structure with this stoichiometry, eV/atom: 0.000
Fermi-level density of states, states/eV per cell: 12.25
Space-group type: P-1 (2)
Total magnetic moment, Bohr magnetons per cell: 3.2

[10]
Here is a relaxed CeThMn crystal from Alexandria via LeMat-Bulk. Energies are from GGA-PBE.

a b c (Å): 6.8198 6.8198 5.5743
angles (deg): 104.12 104.12 36.30
Fractional positions:
1 Ce 0.0993 0.0993 0.3141
2 Ce 0.9007 0.9007 0.6859
3 Th 0.3593 0.3593 0.1541
4 Th 0.6407 0.6407 0.8459
5 Mn 0.2419 0.2419 0.6260
6 Mn 0.7581 0.7581 0.3740

## Properties
DFT formation energy, meV per atom: 39.3
Energy above the lowest structure with this stoichiometry, eV/atom: 0.000
Fermi-level density of states, states/eV per cell: 10.47
Space-group type: C2/m (12)
Total magnetic moment, Bohr magnetons per cell: 0.0

[11]
Here is a relaxed MnCoTe2Rh crystal from Alexandria via LeMat-Bulk. Energies are from GGA-PBE.

a b c (Å): 4.8753 4.8753 4.4406
angles (deg): 90.00 90.00 90.00
Fractional positions:
1 Mn 0.0000 0.0000 0.0000
2 Co 0.5000 0.5000 0.5000
3 Te 0.0000 0.5000 0.5000
4 Te 0.5000 0.0000 0.5000
5 Rh 0.5000 0.5000 0.0000

## Properties
Fermi-level density of states, states/eV per cell: 10.45
Space-group type: P4/mmm (123)
Electronic total energy, eV per formula unit: -23.94
Total magnetic moment, Bohr magnetons per cell: 1.0

[12]
Here is a relaxed SmPd3Rh4O12 crystal from Alexandria via LeMat-Bulk. Energies are from GGA-PBE.

a b c (Å): 6.6206 6.6206 6.6206
angles (deg): 109.47 109.47 109.47
Fractional positions:
1 Sm 0.0000 0.0000 0.0000
2 Pd 0.0000 0.5000 0.5000
3 Pd 0.5000 0.0000 0.5000
4 Pd 0.5000 0.5000 0.0000
5 Rh 0.0000 0.0000 0.5000
6 Rh 0.0000 0.5000 0.0000
7 Rh 0.5000 0.0000 0.0000
8 Rh 0.5000 0.5000 0.5000
9 O 0.1270 0.2967 0.8303
10 O 0.1697 0.4663 0.2967
11 O 0.1697 0.8730 0.7033
12 O 0.2967 0.1697 0.4663
13 O 0.2967 0.8303 0.1270
14 O 0.4663 0.2967 0.1697
15 O 0.5337 0.7033 0.8303
16 O 0.7033 0.1697 0.8730
17 O 0.7033 0.8303 0.5337
18 O 0.8303 0.1270 0.2967
19 O 0.8303 0.5337 0.7033
20 O 0.8730 0.7033 0.1697

## Properties
Fermi-level density of states, states/eV per cell: 17.48
Space-group type: Im-3 (204)
Electronic total energy, eV per formula unit: -128.19
Total magnetic moment, Bohr magnetons per cell: 0.0

[13]
Here is a relaxed TbBe6Cu6 crystal from Alexandria via LeMat-Bulk. Energies are from GGA-PBE.

a b c (Å): 6.1632 6.1632 6.1632
angles (deg): 137.71 97.87 97.08
Fractional positions:
1 Tb 0.0000 0.0000 0.0000
2 Be 0.0000 0.0000 0.5000
3 Be 0.0000 0.5000 0.0000
4 Be 0.2418 0.5000 0.7418
5 Be 0.5000 0.0000 0.0000
6 Be 0.5000 0.5000 0.5000
7 Be 0.7582 0.5000 0.2582
8 Cu 0.2086 0.7086 0.5000
9 Cu 0.3494 0.0000 0.3494
10 Cu 0.3525 0.3525 0.0000
11 Cu 0.6475 0.6475 0.0000
12 Cu 0.6506 0.0000 0.6506
13 Cu 0.7914 0.2914 0.5000

## Properties
DFT formation energy, meV per atom: -128.5
Fermi-level density of states, states/eV per cell: 4.88
Space-group type: Immm (71)
Total magnetic moment, Bohr magnetons per cell: 0.0

[14]
Here is a relaxed YVGa2 crystal from Alexandria via LeMat-Bulk. Energies are from GGA-PBE.

a b c (Å): 4.7501 4.7501 4.7501
angles (deg): 60.00 60.00 60.00
Fractional positions:
1 Y 0.0000 0.0000 0.0000
2 V 0.5000 0.5000 0.5000
3 Ga 0.2500 0.2500 0.2500
4 Ga 0.7500 0.7500 0.7500

## Properties
DFT formation energy, meV per atom: -233.7
Energy above the lowest structure with this stoichiometry, eV/atom: 0.007
Fermi-level density of states, states/eV per cell: 3.70
Space-group type: Fm-3m (225)
Total magnetic moment, Bohr magnetons per cell: 2.8

[15]
Here is a relaxed Hg2PBr crystal from Alexandria via LeMat-Bulk. Energies are from GGA-PBE.

a b c (Å): 3.8460 3.8460 7.3871
angles (deg): 90.00 90.00 90.00
Fractional positions:
1 Hg 0.0000 0.0000 0.0000
2 Hg 0.5000 0.5000 0.3523
3 P 0.0000 0.0000 0.3349
4 Br 0.5000 0.5000 0.8074

## Properties
Energy above the lowest structure with this stoichiometry, eV/atom: 0.227
Fermi-level density of states, states/eV per cell: 1.48
Space-group type: P4mm (99)
Total magnetic moment, Bohr magnetons per cell: 0.0

[16]
Here is a relaxed PuVPt2 crystal from Alexandria via LeMat-Bulk. Energies are from GGA-PBE.

a b c (Å): 5.4649 5.4649 5.4649
angles (deg): 46.87 46.87 46.87
Fractional positions:
1 Pu 0.0000 0.0000 0.0000
2 V 0.5000 0.5000 0.5000
3 Pt 0.2115 0.2115 0.2115
4 Pt 0.7885 0.7885 0.7885

## Properties
DFT formation energy, meV per atom: -469.2
Energy above the lowest structure with this stoichiometry, eV/atom: 0.043
Fermi-level density of states, states/eV per cell: 14.29
Space-group type: R-3m (166)
Total magnetic moment, Bohr magnetons per cell: 6.5

[17]
Here is a relaxed BeNb3Cr crystal from Alexandria via LeMat-Bulk. Energies are from GGA-PBE.

a b c (Å): 4.5708 4.5708 4.5708
angles (deg): 90.00 90.00 90.00
Fractional positions:
1 Be 0.0000 0.0000 0.0000
2 Nb 0.0000 0.5000 0.5000
3 Nb 0.5000 0.0000 0.5000
4 Nb 0.5000 0.5000 0.0000
5 Cr 0.5000 0.5000 0.5000

## Properties
DFT formation energy, meV per atom: 1106.2
Energy above the lowest structure with this stoichiometry, eV/atom: 0.238
Fermi-level density of states, states/eV per cell: 4.47
Space-group type: Pm-3m (221)
Total magnetic moment, Bohr magnetons per cell: 0.0

[18]
Here is a relaxed Pm4AgRh3 crystal from Alexandria via LeMat-Bulk. Energies are from GGA-PBE.

a b c (Å): 3.6116 5.0630 9.9268
angles (deg): 90.00 90.00 90.00
Fractional positions:
1 Pm 0.0000 0.0000 0.0000
2 Pm 0.0000 0.0000 0.5000
3 Pm 0.0000 0.5000 0.2377
4 Pm 0.0000 0.5000 0.7623
5 Ag 0.5000 0.5000 0.5000
6 Rh 0.5000 0.0000 0.2501
7 Rh 0.5000 0.0000 0.7499
8 Rh 0.5000 0.5000 0.0000

## Properties
DFT formation energy, meV per atom: -586.9
Fermi-level density of states, states/eV per cell: 3.55
Space-group type: Pmmm (47)
Total magnetic moment, Bohr magnetons per cell: 0.0

[19]
Here is a relaxed ScAl crystal from Alexandria via LeMat-Bulk. Energies are from GGA-PBE.

a b c (Å): 7.8557 7.8557 7.8557
angles (deg): 90.00 90.00 90.00
Fractional positions:
1 Sc 0.0000 0.2500 0.5000
2 Sc 0.0000 0.7500 0.5000
3 Sc 0.2500 0.5000 0.0000
4 Sc 0.5000 0.0000 0.2500
5 Sc 0.5000 0.0000 0.7500
6 Sc 0.7500 0.5000 0.0000
7 Al 0.0000 0.5000 0.2500
8 Al 0.0000 0.5000 0.7500
9 Al 0.2500 0.0000 0.5000
10 Al 0.5000 0.2500 0.0000
11 Al 0.5000 0.7500 0.0000
12 Al 0.7500 0.0000 0.5000

## Properties
DFT formation energy, meV per atom: 1102.2
Fermi-level density of states, states/eV per cell: 28.12
Space-group type: Pm-3n (223)
Total magnetic moment, Bohr magnetons per cell: 2.2

[20]
Here is a relaxed LaYAgPb crystal from Alexandria via LeMat-Bulk. Energies are from GGA-PBE.

a b c (Å): 5.4301 5.4301 5.4301
angles (deg): 60.00 60.00 60.00
Fractional positions:
1 La 0.0000 0.0000 0.0000
2 Y 0.5000 0.5000 0.5000
3 Ag 0.2500 0.2500 0.2500
4 Pb 0.7500 0.7500 0.7500

## Properties
DFT formation energy, meV per atom: -430.3
Fermi-level density of states, states/eV per cell: 3.42
Space-group type: F-43m (216)
Total magnetic moment, Bohr magnetons per cell: 0.7

[21]
Here is a relaxed CaTaTe2 crystal from Alexandria via LeMat-Bulk. Energies are from GGA-PBE.

a b c (Å): 5.3879 5.5762 5.5762
angles (deg): 40.21 90.00 90.00
Fractional positions:
1 Ca 0.0000 0.0000 0.0000
2 Ta 0.5000 0.7265 0.7265
3 Te 0.0000 0.7181 0.7181
4 Te 0.5000 0.4328 0.4328

## Properties
Energy above the lowest structure with this stoichiometry, eV/atom: 0.114
Fermi-level density of states, states/eV per cell: 2.72
Space-group type: Amm2 (38)
Total magnetic moment, Bohr magnetons per cell: 0.0

[22]
Here is a relaxed KCd2GaNi crystal from Alexandria via LeMat-Bulk. Energies are from GGA-PBE.

a b c (Å): 5.1376 5.1376 4.6599
angles (deg): 90.00 90.00 90.00
Fractional positions:
1 K 0.0000 0.0000 0.0000
2 Cd 0.0000 0.5000 0.5000
3 Cd 0.5000 0.0000 0.5000
4 Ga 0.5000 0.5000 0.0000
5 Ni 0.5000 0.5000 0.5000

## Properties
DFT formation energy, meV per atom: -93.3
Fermi-level density of states, states/eV per cell: 1.95
Space-group type: P4/mmm (123)
Total magnetic moment, Bohr magnetons per cell: 0.0

[23]
Here is a relaxed CsNa2Ge crystal from Alexandria via LeMat-Bulk. Energies are from GGA-PBE.

a b c (Å): 7.3489 7.3489 7.3489
angles (deg): 41.83 41.83 41.83
Fractional positions:
1 Cs 0.0000 0.0000 0.0000
2 Na 0.1970 0.1970 0.1970
3 Na 0.8030 0.8030 0.8030
4 Ge 0.5000 0.5000 0.5000

## Properties
DFT formation energy, meV per atom: 52.9
Fermi-level density of states, states/eV per cell: 3.50
Space-group type: R-3m (166)
Total magnetic moment, Bohr magnetons per cell: 0.7

[24]
Here is a relaxed TiTc2H crystal from Alexandria via LeMat-Bulk. Energies are from GGA-PBE.

a b c (Å): 5.3612 5.3612 5.3612
angles (deg): 60.00 60.00 60.00
Fractional positions:
1 Ti 0.1250 0.1250 0.1250
2 Ti 0.8750 0.8750 0.8750
3 Tc 0.0000 0.5000 0.5000
4 Tc 0.5000 0.0000 0.5000
5 Tc 0.5000 0.5000 0.0000
6 Tc 0.5000 0.5000 0.5000
7 H 0.3750 0.3750 0.3750
8 H 0.6250 0.6250 0.6250

## Properties
Energy above the lowest structure with this stoichiometry, eV/atom: 0.000
Fermi-level density of states, states/eV per cell: 5.43
Space-group type: Fd-3m (227)
Total magnetic moment, Bohr magnetons per cell: 0.0